This record from Alexandria via LeMat-Bulk describes Y3Al3V2O12 after structural relaxation. The functional is PBE+U.

Total DFT energy (no corrections): -0.60474 Ry per atom

a = 10.676 Å, b = 10.676 Å, c = 10.676 Å
α = 109.47°, β = 109.47°, γ = 109.47°
Site moments in Bohr magnetons follow the coordinates.
Fractional coordinates of all 80 atoms:
O (0.086, 0.709, 0.686)  -0.01
O (0.976, 0.686, 0.099)  -0.01
O (0.709, 0.686, 0.086)  -0.01
O (0.086, 0.877, 0.401)  -0.01
O (0.291, 0.314, 0.914)  -0.01
O (0.377, 0.291, 0.476)  -0.01
O (0.209, 0.123, 0.024)  -0.01
O (0.914, 0.123, 0.599)  -0.01
O (0.976, 0.791, 0.877)  -0.01
O (0.814, 0.791, 0.414)  -0.01
O (0.123, 0.599, 0.914)  -0.01
O (0.877, 0.401, 0.086)  -0.01
O (0.709, 0.524, 0.623)  -0.01
O (0.314, 0.901, 0.024)  -0.01
O (0.901, 0.024, 0.314)  -0.01
O (0.686, 0.099, 0.976)  -0.01
O (0.186, 0.476, 0.599)  -0.01
O (0.586, 0.186, 0.209)  -0.01
O (0.901, 0.377, 0.586)  -0.01
O (0.686, 0.086, 0.709)  -0.01
O (0.623, 0.414, 0.099)  -0.01
O (0.524, 0.401, 0.814)  -0.01
O (0.401, 0.814, 0.524)  -0.01
O (0.623, 0.709, 0.524)  -0.01
O (0.877, 0.976, 0.791)  -0.01
O (0.377, 0.586, 0.901)  -0.01
O (0.099, 0.976, 0.686)  -0.01
O (0.291, 0.476, 0.377)  -0.01
O (0.209, 0.586, 0.186)  -0.01
O (0.524, 0.623, 0.709)  -0.01
O (0.024, 0.314, 0.901)  -0.01
O (0.099, 0.623, 0.414)  -0.01
O (0.024, 0.209, 0.123)  -0.01
O (0.314, 0.914, 0.291)  -0.01
O (0.414, 0.099, 0.623)  -0.01
O (0.599, 0.914, 0.123)  -0.01
O (0.586, 0.901, 0.377)  -0.01
O (0.476, 0.377, 0.291)  -0.01
O (0.401, 0.086, 0.877)  -0.01
O (0.476, 0.599, 0.186)  -0.01
O (0.414, 0.814, 0.791)  -0.01
O (0.791, 0.877, 0.976)  -0.01
O (0.791, 0.414, 0.814)  -0.01
O (0.914, 0.291, 0.314)  -0.01
O (0.599, 0.186, 0.476)  -0.01
O (0.814, 0.524, 0.401)  -0.01
O (0.186, 0.209, 0.586)  -0.01
O (0.123, 0.024, 0.209)  -0.01
V (0.500, 0.500, 0.500)  1.94
V (0.000, 0.500, 0.500)  1.94
V (0.500, 0.000, 0.500)  1.94
V (0.500, 0.500, 0.000)  1.94
V (0.000, 0.000, 0.500)  1.94
V (0.000, 0.000, 0.000)  1.94
V (0.000, 0.500, 0.000)  1.94
V (0.500, 0.000, 0.000)  1.94
Al (0.625, 0.375, 0.250)  0.01
Al (0.875, 0.250, 0.125)  0.01
Al (0.750, 0.375, 0.625)  0.01
Al (0.375, 0.625, 0.750)  0.01
Al (0.750, 0.875, 0.125)  0.01
Al (0.625, 0.750, 0.375)  0.01
Al (0.875, 0.125, 0.750)  0.01
Al (0.125, 0.750, 0.875)  0.01
Al (0.375, 0.250, 0.625)  0.01
Al (0.250, 0.125, 0.875)  0.01
Al (0.125, 0.875, 0.250)  0.01
Al (0.250, 0.625, 0.375)  0.01
Y (0.875, 0.750, 0.625)  0.00
Y (0.375, 0.750, 0.125)  0.00
Y (0.250, 0.875, 0.625)  0.00
Y (0.625, 0.875, 0.750)  0.00
Y (0.125, 0.250, 0.375)  0.00
Y (0.750, 0.625, 0.875)  0.00
Y (0.750, 0.125, 0.375)  0.00
Y (0.875, 0.625, 0.250)  0.00
Y (0.625, 0.250, 0.875)  0.00
Y (0.375, 0.125, 0.250)  0.00
Y (0.125, 0.375, 0.750)  0.00
Y (0.250, 0.375, 0.125)  0.00